# 1
# SrAs2Se (PBE-GGA, optimized geometry)
data_SrAs2Se
_chemical_formula_sum 'Sr1 As2 Se1'
_cell_length_a 6.337
_cell_length_b 6.337
_cell_length_c 6.337
_cell_angle_alpha 141.70
_cell_angle_beta 141.70
_cell_angle_gamma 55.28
_symmetry_space_group_name_H-M 'P 1'
_symmetry_Int_Tables_number 1
_symmetry_space_group_name_Hall 'P 1'
loop_
_atom_site_label
_atom_site_type_symbol
_atom_site_fract_x
_atom_site_fract_y
_atom_site_fract_z
Sr1 Sr 0.750 0.250 0.500
As1 As 0.000 0.000 0.000
Se1 Se 0.250 0.750 0.500
As2 As 0.500 0.500 0.000
# Energy ... -16.44 eV/cell

=====

# 2
# NdZn6Au12 (PBE-GGA, optimized geometry)
data_NdZn6Au12
_chemical_formula_sum 'Nd1 Zn6 Au12'
_cell_length_a 7.475
_cell_length_b 7.475
_cell_length_c 7.475
_cell_angle_alpha 105.36
_cell_angle_beta 105.36
_cell_angle_gamma 105.36
_symmetry_space_group_name_H-M 'P 1'
_symmetry_Int_Tables_number 1
_symmetry_space_group_name_Hall 'P 1'
loop_
_atom_site_label
_atom_site_type_symbol
_atom_site_fract_x
_atom_site_fract_y
_atom_site_fract_z
Zn1 Zn 0.306 0.714 0.714
Au1 Au 0.626 0.875 0.626
Au2 Au 0.125 0.374 0.374
Zn2 Zn 0.714 0.714 0.306
Au3 Au 0.882 0.118 0.500
Zn3 Zn 0.286 0.286 0.694
Au4 Au 0.374 0.125 0.374
Au5 Au 0.500 0.882 0.118
Au6 Au 0.118 0.882 0.500
Au7 Au 0.875 0.626 0.626
Zn4 Zn 0.694 0.286 0.286
Nd1 Nd 0.000 0.000 0.000
Au8 Au 0.500 0.118 0.882
Au9 Au 0.882 0.500 0.118
Au10 Au 0.626 0.626 0.875
Au11 Au 0.374 0.374 0.125
Zn5 Zn 0.286 0.694 0.286
Zn6 Zn 0.714 0.306 0.714
Au12 Au 0.118 0.500 0.882
# Calculated formation energy ... -203 meV/atom

=====

# 3
# La2TbEr4Sc (PBE-GGA, optimized geometry)
data_La2TbEr4Sc
_chemical_formula_sum 'La4 Tb2 Er8 Sc2'
_cell_length_a 9.424
_cell_length_b 9.424
_cell_length_c 11.768
_cell_angle_alpha 128.63
_cell_angle_beta 128.63
_cell_angle_gamma 87.99
_symmetry_space_group_name_H-M 'P 1'
_symmetry_Int_Tables_number 1
_symmetry_space_group_name_Hall 'P 1'
loop_
_atom_site_label
_atom_site_type_symbol
_atom_site_fract_x
_atom_site_fract_y
_atom_site_fract_z
Er1 Er 0.752 0.750 0.519
Er2 Er 0.750 0.748 0.981
Er3 Er 0.766 0.237 0.002
Tb1 Tb 0.000 0.500 0.000
La1 La 0.000 0.000 0.500
Sc1 Sc 0.500 0.500 0.500
La2 La 0.500 0.500 0.000
Er4 Er 0.263 0.734 0.498
Er5 Er 0.737 0.266 0.502
Sc2 Sc 0.000 0.000 0.000
La3 La 0.500 0.000 0.000
Tb2 Tb 0.000 0.500 0.500
Er6 Er 0.248 0.250 0.481
Er7 Er 0.250 0.252 0.019
Er8 Er 0.234 0.763 0.998
La4 La 0.500 0.000 0.500
# Calculated formation energy ... 412 meV/atom

=====

# 4
# TlZn2Re (PBE-GGA, optimized geometry)
data_TlZn2Re
_chemical_formula_sum 'Tl1 Zn2 Re1'
_cell_length_a 4.219
_cell_length_b 4.218
_cell_length_c 3.713
_cell_angle_alpha 90.00
_cell_angle_beta 90.00
_cell_angle_gamma 90.00
_symmetry_space_group_name_H-M 'P 1'
_symmetry_Int_Tables_number 1
_symmetry_space_group_name_Hall 'P 1'
loop_
_atom_site_label
_atom_site_type_symbol
_atom_site_fract_x
_atom_site_fract_y
_atom_site_fract_z
Zn1 Zn 0.500 0.500 0.000
Re1 Re 0.500 0.000 0.500
Zn2 Zn 0.000 0.000 0.000
Tl1 Tl 0.000 0.500 0.500
# Calculated formation energy ... 618 meV/atom
# Energy above the lowest structure with this stoichiometry ... 0.146 eV per atom

=====

# 5
# BeCd3Au (PBE-GGA, optimized geometry)
data_BeCd3Au
_chemical_formula_sum 'Be1 Cd3 Au1'
_cell_length_a 5.293
_cell_length_b 5.293
_cell_length_c 5.293
_cell_angle_alpha 90.00
_cell_angle_beta 90.00
_cell_angle_gamma 90.00
_symmetry_space_group_name_H-M 'P 1'
_symmetry_Int_Tables_number 1
_symmetry_space_group_name_Hall 'P 1'
loop_
_atom_site_label
_atom_site_type_symbol
_atom_site_fract_x
_atom_site_fract_y
_atom_site_fract_z
Cd1 Cd 0.000 0.500 0.000
Cd2 Cd 0.500 0.000 0.000
Au1 Au 0.000 0.000 0.000
Cd3 Cd 0.000 0.000 0.500
Be1 Be 0.500 0.500 0.500
# Calculated formation energy ... 655 meV/atom
# Energy above the lowest structure with this stoichiometry ... 0.350 eV per atom

=====

# 6
# BeZnTc2Te (PBE-GGA, optimized geometry)
data_BeZnTc2Te
_chemical_formula_sum 'Be1 Zn1 Tc2 Te1'
_cell_length_a 4.893
_cell_length_b 4.879
_cell_length_c 4.893
_cell_angle_alpha 90.00
_cell_angle_beta 90.00
_cell_angle_gamma 90.00
_symmetry_space_group_name_H-M 'P 1'
_symmetry_Int_Tables_number 1
_symmetry_space_group_name_Hall 'P 1'
loop_
_atom_site_label
_atom_site_type_symbol
_atom_site_fract_x
_atom_site_fract_y
_atom_site_fract_z
Tc1 Tc 0.000 0.000 0.500
Te1 Te 0.000 0.000 0.000
Be1 Be 0.500 0.500 0.500
Zn1 Zn 0.000 0.500 0.000
Tc2 Tc 0.500 0.000 0.000
# Energy ... -19.55 eV/cell

=====

# 7
# BaMgTaCl2 (PBE-GGA, optimized geometry)
data_BaMgTaCl2
_chemical_formula_sum 'Ba1 Mg1 Ta1 Cl2'
_cell_length_a 5.047
_cell_length_b 5.991
_cell_length_c 5.047
_cell_angle_alpha 90.00
_cell_angle_beta 90.00
_cell_angle_gamma 90.00
_symmetry_space_group_name_H-M 'P 1'
_symmetry_Int_Tables_number 1
_symmetry_space_group_name_Hall 'P 1'
loop_
_atom_site_label
_atom_site_type_symbol
_atom_site_fract_x
_atom_site_fract_y
_atom_site_fract_z
Cl1 Cl 0.500 0.000 0.000
Mg1 Mg 0.000 0.000 0.000
Ta1 Ta 0.000 0.500 0.000
Cl2 Cl 0.000 0.000 0.500
Ba1 Ba 0.500 0.500 0.500
# Energy ... -18.95 eV/cell

=====

# 8
# Ho2Sc2C2N (PBE-GGA, optimized geometry)
data_Ho2Sc2C2N
_chemical_formula_sum 'Ho2 Sc2 C2 N1'
_cell_length_a 3.520
_cell_length_b 6.781
_cell_length_c 6.822
_cell_angle_alpha 55.39
_cell_angle_beta 75.05
_cell_angle_gamma 58.75
_symmetry_space_group_name_H-M 'P 1'
_symmetry_Int_Tables_number 1
_symmetry_space_group_name_Hall 'P 1'
loop_
_atom_site_label
_atom_site_type_symbol
_atom_site_fract_x
_atom_site_fract_y
_atom_site_fract_z
N1 N 0.000 0.000 0.000
Ho1 Ho 0.332 0.042 0.251
Sc1 Sc 0.299 0.560 0.283
C1 C 0.982 0.291 0.455
Ho2 Ho 0.668 0.958 0.749
C2 C 0.018 0.709 0.545
Sc2 Sc 0.701 0.440 0.717
# Energy ... -53.67 eV/cell

=====

| no. | M_tot (μB/cell) |
| --- | --- |
| 1 | 0.0 |
| 2 | 0.0 |
| 3 | 0.8 |
| 4 | 0.0 |
| 5 | 0.0 |
| 6 | 2.3 |
| 7 | 4.8 |
| 8 | 0.9 |